[1]
Ti3W, relaxed, DFT PBE-GGA; energy of formation from the pure elements = 0.118 eV/atom; spin magnetization = 0.00 μB/f.u.; DOS(E_F) = 5.843 states/eV/cell
1.0
-1.905 1.905 4.575
1.905 -1.905 4.575
1.905 1.905 -4.575
Ti W
3 1
Direct
0.000 0.000 0.000
0.250 0.750 0.500
0.750 0.250 0.500
0.500 0.500 0.000

***

[2]
Na2ZnFeBr, relaxed, DFT PBE-GGA; formation energy from raw total energies = 368 meV per atom; spin magnetization = 2.22 μB/f.u.; DOS(E_F) = 2.809 states/eV/cell
1.0
5.756 0.000 0.000
0.000 5.756 0.000
0.000 0.000 4.548
Na Zn Fe Br
2 1 1 1
Direct
0.000 0.500 0.000
0.500 0.000 0.000
0.000 0.000 0.500
0.500 0.500 0.000
0.500 0.500 0.500

***

[3]
TbPm5PrY2, relaxed, DFT PBE-GGA; energy of formation from the pure elements = 0.145 eV/atom; spin magnetization = 0.00 μB/f.u.; DOS(E_F) = 29.183 states/eV/cell
1.0
2.865 -10.185 0.000
2.865 10.185 0.000
0.000 0.000 10.658
Tb Pm Pr Y
2 10 2 4
Direct
0.201 0.799 0.500
0.799 0.201 0.000
0.018 0.982 0.512
0.281 0.719 0.801
0.297 0.703 0.195
0.390 0.610 0.514
0.479 0.521 0.230
0.521 0.479 0.730
0.610 0.390 0.014
0.703 0.297 0.695
0.719 0.281 0.301
0.982 0.018 0.012
0.414 0.586 0.942
0.586 0.414 0.442
0.113 0.887 0.222
0.116 0.884 0.811
0.884 0.116 0.311
0.887 0.113 0.722

***

[4]
Tm3InCo2, relaxed, DFT PBE-GGA; energy of formation from the pure elements = -0.311 eV/atom; spin magnetization = 0.72 μB/f.u.; DOS(E_F) = 2.273 states/eV/cell
1.0
3.272 0.000 0.000
0.000 3.272 0.000
0.000 0.000 11.537
Tm In Co
3 1 2
Direct
0.000 0.000 0.000
0.000 0.000 0.286
0.000 0.000 0.714
0.500 0.500 0.500
0.500 0.500 0.148
0.500 0.500 0.852

***

[5]
RbHg2Se2, relaxed, DFT PBE-GGA; formation energy from raw total energies = -369 meV per atom; spin magnetization = 0.00 μB/f.u.; DOS(E_F) = 3.271 states/eV/cell
1.0
-2.614 2.614 5.340
2.614 -2.614 5.340
2.614 2.614 -5.340
Rb Hg Se
1 2 2
Direct
0.000 0.000 0.000
0.369 0.369 0.000
0.631 0.631 0.000
0.250 0.750 0.500
0.750 0.250 0.500

***

[6]
NaBeMo3, relaxed, DFT PBE-GGA; energy of formation from the pure elements = 2.828 eV/atom; spin magnetization = 0.84 μB/f.u.; DOS(E_F) = 6.800 states/eV/cell
1.0
4.487 0.000 0.000
0.000 4.487 0.000
0.000 0.000 4.487
Na Be Mo
1 1 3
Direct
0.000 0.000 0.000
0.500 0.500 0.500
0.000 0.000 0.500
0.000 0.500 0.000
0.500 0.000 0.000

***

[7]
SrThAgPd, relaxed, DFT PBE-GGA; energy of formation from the pure elements = -0.288 eV/atom; spin magnetization = 0.00 μB/f.u.; DOS(E_F) = 2.352 states/eV/cell
1.0
0.000 3.728 3.728
3.728 0.000 3.728
3.728 3.728 0.000
Sr Th Ag Pd
1 1 1 1
Direct
0.000 0.000 0.000
0.500 0.500 0.500
0.750 0.750 0.750
0.250 0.250 0.250

***

[8]
PmErAgAu, relaxed, DFT PBE-GGA; energy of formation from the pure elements = -0.558 eV/atom; spin magnetization = 0.00 μB/f.u.; DOS(E_F) = 3.286 states/eV/cell
1.0
0.000 3.648 3.648
3.648 0.000 3.648
3.648 3.648 0.000
Pm Er Ag Au
1 1 1 1
Direct
0.000 0.000 0.000
0.500 0.500 0.500
0.750 0.750 0.750
0.250 0.250 0.250

***

What did the third record say?
TbPm5PrY2, relaxed, DFT PBE-GGA; energy of formation from the pure elements = 0.145 eV/atom; spin magnetization = 0.00 μB/f.u.; DOS(E_F) = 29.183 states/eV/cell
1.0
2.865 -10.185 0.000
2.865 10.185 0.000
0.000 0.000 10.658
Tb Pm Pr Y
2 10 2 4
Direct
0.201 0.799 0.500
0.799 0.201 0.000
0.018 0.982 0.512
0.281 0.719 0.801
0.297 0.703 0.195
0.390 0.610 0.514
0.479 0.521 0.230
0.521 0.479 0.730
0.610 0.390 0.014
0.703 0.297 0.695
0.719 0.281 0.301
0.982 0.018 0.012
0.414 0.586 0.942
0.586 0.414 0.442
0.113 0.887 0.222
0.116 0.884 0.811
0.884 0.116 0.311
0.887 0.113 0.722

***

Q: What is the spin magnetization in the sixth record?
A: 0.84 μB/f.u.

***

Q: Among the records above, which one has the highest DOS(E_F)?
A: TbPm5PrY2

***

Q: The lowest DOS(E_F) belongs to which entry?
A: Tm3InCo2